No. 1
{"formula": "Ce3TlCu", "functional": "PBE", "state": "optimized geometry", "lattice": [[-2.7763, -2.1186, -2.2928], [3.9806, -1.8220, -3.1366], [2.9209, -7.9369, 7.6029]], "species": ["Ce", "Ce", "Ce", "Ce", "Ce", "Ce", "Tl", "Tl", "Cu", "Cu"], "frac_coords": [[0.9390, 0.7944, 0.8780], [0.0610, 0.2056, 0.1220], [0.3553, 0.8127, 0.7107], [0.6447, 0.1873, 0.2893], [0.1814, 0.6550, 0.3628], [0.8186, 0.3450, 0.6372], [0.5604, 0.7025, 0.1209], [0.4396, 0.2975, 0.8791], [0.7595, 0.8665, 0.5190], [0.2405, 0.1335, 0.4810]], "rho_g_cm3": 9.095, "delta_e_f_kcal_per_mol_atoms": -2.84, "e_tot_ev_per_atom": -4.976, "volume_a3_per_atom": 25.134, "total_magnetization_mub_per_atom": 0.2761}

***

No. 2
{"formula": "CeYTlCu", "functional": "PBE", "state": "optimized geometry", "lattice": [[5.2579, 0.0000, 0.0000], [2.6290, 4.5535, 0.0000], [2.6290, 1.5178, 4.2931]], "species": ["Y", "Tl", "Cu", "Ce"], "frac_coords": [[0.7500, 0.7500, 0.7500], [0.0000, 0.0000, 0.0000], [0.5000, 0.5000, 0.5000], [0.2500, 0.2500, 0.2500]], "rho_g_cm3": 8.029, "delta_e_f_kcal_per_mol_atoms": -3.26, "e_tot_ev_per_atom": -4.856, "volume_a3_per_atom": 25.696, "total_magnetization_mub_per_atom": 0.3169}